[1]
# Cu15Pb

An optimized crystal structure of Cu15Pb (PBE, OQMD via LeMat-Bulk).

CIF file:
```
data_Cu15Pb
_space_group_name_H-M_alt 'P m m a'
_space_group_IT_number 51
_cell_length_a 3.614
_cell_length_b 3.618
_cell_length_c 41.896
_cell_angle_alpha 90.00
_cell_angle_beta 90.00
_cell_angle_gamma 90.00
loop_
_space_group_symop_operation_xyz
'x,y,z'
'-x,-y,-z'
'-x+1/2,-y,z'
'x+1/2,y,-z'
'x+1/2,-y,-z'
'-x+1/2,y,z'
'-x,y,-z'
'x,-y,z'
loop_
_atom_site_label
_atom_site_type_symbol
_atom_site_fract_x
_atom_site_fract_y
_atom_site_fract_z
Cu1 Cu 0.250 0.000 0.021
Cu2 Cu 0.250 0.000 0.106
Cu3 Cu 0.250 0.000 0.192
Cu4 Cu 0.250 0.000 0.278
Cu5 Cu 0.250 0.000 0.682
Cu6 Cu 0.250 0.000 0.765
Cu7 Cu 0.250 0.000 0.851
Cu8 Cu 0.250 0.000 0.936
Cu9 Cu 0.250 0.500 0.064
Cu10 Cu 0.250 0.500 0.149
Cu11 Cu 0.250 0.500 0.235
Cu12 Cu 0.250 0.500 0.722
Cu13 Cu 0.250 0.500 0.808
Cu14 Cu 0.250 0.500 0.894
Cu15 Cu 0.250 0.500 0.979
Pb1 Pb 0.250 0.500 0.345
```

Values from the calculation:
DFT total energy = -3.6704 eV/atom
Offset from the most stable computed form = 0.000 eV/atom

=====

[2]
# Li4TlGaPd2

An optimized crystal structure of Li4TlGaPd2 (PBE, OQMD via LeMat-Bulk).

CIF file:
```
data_Li4TlGaPd2
_space_group_name_H-M_alt 'P -4 m 2'
_space_group_IT_number 115
_cell_length_a 4.407
_cell_length_b 4.407
_cell_length_c 6.333
_cell_angle_alpha 90.00
_cell_angle_beta 90.00
_cell_angle_gamma 90.00
loop_
_space_group_symop_operation_xyz
'x,y,z'
'y,-x,-z'
'-x,-y,z'
'-y,x,-z'
'-x,y,z'
'-y,-x,-z'
'x,-y,z'
'y,x,-z'
loop_
_atom_site_label
_atom_site_type_symbol
_atom_site_fract_x
_atom_site_fract_y
_atom_site_fract_z
Li1 Li 0.000 0.000 0.000
Li2 Li 0.000 0.500 0.235
Li3 Li 0.500 0.500 0.500
Tl1 Tl 0.000 0.000 0.500
Ga1 Ga 0.500 0.500 0.000
Pd1 Pd 0.000 0.500 0.779
```

Values from the calculation:
DFT total energy = -3.3864 eV/atom